Record 1
This record from the Alexandria database describes a relaxed structure of Pr2Sn3IrRh4. The functional is PBE-GGA.

Lattice parameters (Å, degrees): 4.4177 4.4177 10.8346 90.00 90.00 90.00
Last column: nearest neighbours and their distance in Å.
Fractional positions:
Pr (0.5000, 0.0000, 0.2538)  8 Rh 3.38-3.53, 6 Sn 3.39-3.46, 2 Ir 3.46
Rh (0.5000, 0.0000, 0.6283)  3 Sn 2.60-2.61, 2 Ir 2.61
Ir (0.5000, 0.5000, 0.5000)  4 Rh 2.61
Rh (0.5000, 0.5000, 0.0000)  4 Sn 2.63
Rh (0.0000, 0.0000, 0.0000)  4 Sn 2.63
Rh (0.0000, 0.5000, 0.3717)  3 Sn 2.60-2.61, 2 Ir 2.61
Sn (0.0000, 0.5000, 0.1317)  5 Rh 2.60-2.63
Sn (0.0000, 0.0000, 0.5000)  4 Rh 2.61
Sn (0.5000, 0.0000, 0.8683)  5 Rh 2.60-2.63
Pr (0.0000, 0.5000, 0.7462)  8 Rh 3.38-3.53, 6 Sn 3.39-3.46, 2 Ir 3.46

Summary:
E_tot: -65.7 eV per formula unit
Volume: 21.1 Å³/atom
Energy relative to the elements: -589 meV per atom
Total moment: 0.00 μB/f.u.

Record 2
This record from the Alexandria database describes a relaxed structure of Pr2Sn4Ir3Rh. The functional is PBE-GGA.

Lattice parameters (Å, degrees): 4.5072 4.5072 10.8673 90.00 90.00 90.00
Last column: nearest neighbours and their distance in Å.
Fractional positions:
Rh (0.5000, 0.5000, 0.5000)  4 Sn 2.65
Sn (0.5000, 0.0000, 0.6291)  3 Ir 2.59-2.65, 2 Rh 2.65
Ir (0.0000, 0.5000, 0.1323)  5 Sn 2.59-2.67
Sn (0.5000, 0.5000, 0.0000)  4 Ir 2.67
Ir (0.0000, 0.0000, 0.5000)  4 Sn 2.65
Sn (0.0000, 0.0000, 0.0000)  4 Ir 2.67
Ir (0.5000, 0.0000, 0.8677)  5 Sn 2.59-2.67
Sn (0.0000, 0.5000, 0.3709)  3 Ir 2.59-2.65, 2 Rh 2.65
Pr (0.0000, 0.5000, 0.7499)  6 Ir 3.43-3.53, 8 Sn 3.45-3.53, 2 Rh 3.53
Pr (0.5000, 0.0000, 0.2501)  6 Ir 3.43-3.53, 8 Sn 3.45-3.53, 2 Rh 3.53

Summary:
E_tot: -65.6 eV per formula unit
Volume: 22.1 Å³/atom
Energy relative to the elements: -608 meV per atom
Total moment: 0.00 μB/f.u.